! Ir2RuRh | Alexandria via LeMat-Bulk | GGA-PBE | relaxed; values from VASP
! Calculated formation energy: 1.04 eV/atom
! Space group: I-42d (122)
! Final energy: -60.34 eV/cell
! ΔE to the lowest computed polymorph: 4.28 eV per formula unit
! Crystal system: tetragonal
&SYSTEM
  ibrav = 0, nat = 8, ntyp = 3
/
ATOMIC_SPECIES
Ir 192.22 Ir.upf
Ru 101.07 Ru.upf
Rh 102.91 Rh.upf
CELL_PARAMETERS angstrom
-2.767 2.767 5.537
2.767 -2.767 5.537
2.767 2.767 -5.537
ATOMIC_POSITIONS crystal
Ir 0.119 0.625 0.994
Ir 0.375 0.369 0.494
Ir 0.631 0.125 0.006
Ir 0.875 0.881 0.506
Ru 0.000 0.000 0.000
Ru 0.750 0.250 0.500
Rh 0.250 0.750 0.500
Rh 0.500 0.500 0.000

! Ir3Ru2Rh2 | Alexandria via LeMat-Bulk | GGA-PBE | relaxed; values from VASP
! Calculated formation energy: 0.31 eV/atom
! Space group: P-1 (2)
! Final energy: -57.66 eV/cell
! ΔE to the lowest computed polymorph: 1.46 eV per formula unit
! Crystal system: triclinic
&SYSTEM
  ibrav = 0, nat = 7, ntyp = 3
/
ATOMIC_SPECIES
Ir 192.22 Ir.upf
Ru 101.07 Ru.upf
Rh 102.91 Rh.upf
CELL_PARAMETERS angstrom
3.795 0.000 0.000
0.000 3.848 0.000
1.893 1.920 7.414
ATOMIC_POSITIONS crystal
Ir 0.000 0.000 0.000
Ir 0.255 0.255 0.491
Ir 0.745 0.745 0.509
Ru 0.378 0.880 0.242
Ru 0.622 0.120 0.758
Rh 0.119 0.618 0.763
Rh 0.881 0.382 0.237

! Ir2RuRh | Alexandria via LeMat-Bulk | GGA-PBE | relaxed; values from VASP
! Calculated formation energy: -0.01 eV/atom
! Space group: C2/m (12)
! Final energy: -34.39 eV/cell
! ΔE to the lowest computed polymorph: 0.06 eV per formula unit
! Crystal system: monoclinic
&SYSTEM
  ibrav = 0, nat = 4, ntyp = 3
/
ATOMIC_SPECIES
Ir 192.22 Ir.upf
Ru 101.07 Ru.upf
Rh 102.91 Rh.upf
CELL_PARAMETERS angstrom
4.531 -1.359 0.000
4.531 1.359 0.000
-0.812 0.000 4.640
ATOMIC_POSITIONS crystal
Ir 0.248 0.248 0.247
Ir 0.752 0.752 0.753
Ru 0.500 0.500 0.000
Rh 0.000 0.000 0.500

! Ir3RuRh4 | Alexandria via LeMat-Bulk | GGA-PBE | relaxed; values from VASP
! Calculated formation energy: 0.43 eV/atom
! Space group: Immm (71)
! Final energy: -61.79 eV/cell
! ΔE to the lowest computed polymorph: 1.53 eV per formula unit
! Crystal system: orthorhombic
&SYSTEM
  ibrav = 0, nat = 8, ntyp = 3
/
ATOMIC_SPECIES
Ir 192.22 Ir.upf
Ru 101.07 Ru.upf
Rh 102.91 Rh.upf
CELL_PARAMETERS angstrom
-1.353 2.129 10.867
1.353 -2.129 10.867
1.353 2.129 -10.867
ATOMIC_POSITIONS crystal
Ir 0.000 0.000 0.000
Ir 0.164 0.164 0.000
Ir 0.836 0.836 0.000
Ru 0.500 0.500 0.000
Rh 0.285 0.285 0.000
Rh 0.399 0.899 0.500
Rh 0.601 0.101 0.500
Rh 0.715 0.715 0.000

! Ir2RuRh | Alexandria via LeMat-Bulk | GGA-PBE | relaxed; values from VASP
! Calculated formation energy: -0.03 eV/atom
! Space group: P4/mmm (123)
! Final energy: -34.46 eV/cell
! ΔE to the lowest computed polymorph: 0.00 eV per formula unit
! Crystal system: tetragonal
&SYSTEM
  ibrav = 0, nat = 4, ntyp = 3
/
ATOMIC_SPECIES
Ir 192.22 Ir.upf
Ru 101.07 Ru.upf
Rh 102.91 Rh.upf
CELL_PARAMETERS angstrom
2.722 0.000 0.000
0.000 2.722 0.000
0.000 0.000 7.707
ATOMIC_POSITIONS crystal
Ir 0.000 0.000 0.246
Ir 0.000 0.000 0.754
Ru 0.500 0.500 0.000
Rh 0.500 0.500 0.500

! IrRu6Rh8 | Alexandria via LeMat-Bulk | GGA-PBE | relaxed; values from VASP
! Calculated formation energy: 0.35 eV/atom
! Space group: P-3 (147)
! Final energy: -118.15 eV/cell
! Crystal system: trigonal
&SYSTEM
  ibrav = 0, nat = 15, ntyp = 3
/
ATOMIC_SPECIES
Ir 192.22 Ir.upf
Ru 101.07 Ru.upf
Rh 102.91 Rh.upf
CELL_PARAMETERS angstrom
9.807 0.000 0.000
-4.904 8.494 0.000
0.000 0.000 2.725
ATOMIC_POSITIONS crystal
Ir 0.000 0.000 0.000
Ru 0.089 0.618 0.251
Ru 0.382 0.471 0.251
Ru 0.471 0.089 0.749
Ru 0.529 0.911 0.251
Ru 0.618 0.529 0.749
Ru 0.911 0.382 0.749
Rh 0.077 0.291 0.252
Rh 0.214 0.923 0.252
Rh 0.291 0.214 0.748
Rh 0.333 0.667 0.748
Rh 0.667 0.333 0.252
Rh 0.709 0.786 0.252
Rh 0.786 0.077 0.748
Rh 0.923 0.709 0.748